CsPu2Cl7: optimized geometry, GGA-PBE.

Output
uncorrected formation energy = -44.862 kcal/mol of atoms

extended XYZ file:
```
10
Lattice="4.337 -7.113 0.000 4.337 7.113 0.000 0.000 0.000 5.431" Properties=species:S:1:pos:R:3 pbc="T T T"
Cs 0.000 0.000 0.000
Pu 4.337 2.752 2.716
Pu 4.337 -2.752 2.716
Cl 1.622 2.027 2.716
Cl 4.337 2.858 0.000
Cl 1.622 -2.027 2.716
Cl 4.337 0.000 2.716
Cl 7.052 2.027 2.716
Cl 4.337 -2.858 0.000
Cl 7.052 -2.027 2.716
```